Material: NaIn2NiAg
Method: DFT, PBE-GGA
State: optimized geometry

The energy above the most stable polymorph in this dataset is 656 meV/atom. The formation energy from the elements is 0.6750 eV per atom.

It has space group P4/mmm (No. 123), with a = 5.223 Å, b = 5.223 Å, c = 5.219 Å, α = 90.00°, β = 90.00° and γ = 90.00°. The asymmetric unit holds Na at (0.000, 0.000, 0.000), In at (0.000, 0.500, 0.500), Ni at (0.500, 0.500, 0.000) and Ag at (0.000, 0.000, 0.500).

***

Material: NaInNi2Ag
Method: DFT, PBE-GGA
State: optimized geometry

The formation energy from the elements is 1.2720 eV per atom.

It has space group P4/mmm (No. 123), with a = 4.492 Å, b = 4.492 Å, c = 5.027 Å, α = 90.00°, β = 90.00° and γ = 90.00°. The asymmetric unit holds Na at (0.000, 0.000, 0.000), In at (0.000, 0.000, 0.500), Ni at (0.000, 0.500, 0.000) and Ag at (0.500, 0.500, 0.500).

***

Material: Na2InAgO4
Method: DFT, PBE-GGA
State: optimized geometry

The formation energy (no corrections) comes out at -1.09 eV/atom.

It has space group P2/m (No. 10), with a = 6.139 Å, b = 3.151 Å, c = 6.195 Å, α = 90.00°, β = 116.30° and γ = 90.00°. The asymmetric unit holds Na at (0.000, 0.000, 0.000), Na at (0.000, 0.500, 0.500), In at (0.500, 0.000, 0.500), Ag at (0.500, 0.500, 0.000), O at (0.249, 0.500, 0.300) and O at (0.318, 0.000, 0.770).

***

Material: NaInAgPb
Method: DFT, PBE-GGA
State: optimized geometry

The formation energy from the elements is -0.0184 eV per atom.

It has space group F-43m (No. 216), with a = 7.298 Å, b = 7.298 Å, c = 7.298 Å, α = 90.00°, β = 90.00° and γ = 90.00°. The asymmetric unit holds Na at (0.000, 0.000, 0.000), In at (0.250, 0.250, 0.750), Ag at (0.000, 0.000, 0.500) and Pb at (0.250, 0.250, 0.250).

***

Material: NaInAg2Pd
Method: DFT, PBE-GGA
State: optimized geometry

The formation energy from the elements is 0.8694 eV per atom.

It has space group P4/mmm (No. 123), with a = 4.813 Å, b = 4.813 Å, c = 5.270 Å, α = 90.00°, β = 90.00° and γ = 90.00°. The asymmetric unit holds Na at (0.000, 0.000, 0.000), In at (0.000, 0.000, 0.500), Ag at (0.000, 0.500, 0.000) and Pd at (0.500, 0.500, 0.500).

***

Material: NaPrInAg
Method: DFT, PBE-GGA
State: optimized geometry

The formation energy from the elements is -0.1991 eV per atom.

It has space group F-43m (No. 216), with a = 7.489 Å, b = 7.489 Å, c = 7.489 Å, α = 90.00°, β = 90.00° and γ = 90.00°. The asymmetric unit holds Na at (0.000, 0.000, 0.000), Pr at (0.000, 0.000, 0.500), In at (0.250, 0.250, 0.250) and Ag at (0.250, 0.250, 0.750).

***

Material: RbNa2InAg
Method: DFT, PBE-GGA
State: optimized geometry

The energy above the most stable polymorph in this dataset is 48 meV/atom. The formation energy from the elements is 0.0530 eV per atom.

It has space group P4/mmm (No. 123), with a = 6.050 Å, b = 6.050 Å, c = 5.383 Å, α = 90.00°, β = 90.00° and γ = 90.00°. The asymmetric unit holds Rb at (0.000, 0.000, 0.000), Na at (0.000, 0.500, 0.500), In at (0.500, 0.500, 0.500) and Ag at (0.500, 0.500, 0.000).

***

Material: RbNa2InAg
Method: DFT, PBE-GGA
State: optimized geometry

The energy above the most stable polymorph in this dataset is 0 meV/atom. The formation energy from the elements is 0.0053 eV per atom.

It has space group P4/mmm (No. 123), with a = 5.863 Å, b = 5.863 Å, c = 5.372 Å, α = 90.00°, β = 90.00° and γ = 90.00°. The asymmetric unit holds Rb at (0.000, 0.000, 0.000), Na at (0.000, 0.500, 0.500), In at (0.500, 0.500, 0.000) and Ag at (0.500, 0.500, 0.500).